Record 1
First-principles (SCAN) data for a PBEsol-optimized structure of ZnReSi2, as listed in the Alexandria database.

Cell lengths 4.257, 4.257, 4.257 Å; angles 60.00, 60.00, 60.00 degrees
Fractional coordinates of all 4 atoms:
1 Zn 0.250 0.250 0.250
2 Re 0.500 0.500 0.500
3 Si 0.750 0.750 0.750
4 Si 0.000 0.000 0.000

Properties
- formation energy from raw total energies (eV per atom) = 0.619

---

Record 2
First-principles (SCAN) data for a PBEsol-optimized structure of Be2PBr, as listed in the Alexandria database.

Cell lengths 5.143, 5.143, 6.318 Å; angles 114.02, 114.02, 90.00 degrees
Fractional coordinates of all 8 atoms:
1 P 0.750 0.250 0.500
2 Be 0.625 0.573 0.750
3 Br 0.000 0.000 0.000
4 Be 0.125 0.177 0.750
5 Be 0.427 0.875 0.250
6 P 0.500 0.500 0.000
7 Be 0.823 0.375 0.250
8 Br 0.250 0.750 0.500

Properties
- energy above the lowest structure with this stoichiometry (eV/f.u.) = 0.00
- formation energy from raw total energies (eV per atom) = -0.528

---

Record 3
First-principles (SCAN) data for a PBEsol-optimized structure of YBe2P, as listed in the Alexandria database.

Cell lengths 3.740, 3.740, 5.547 Å; angles 109.57, 109.57, 90.36 degrees
Fractional coordinates of all 4 atoms:
1 Y 0.500 0.500 0.000
2 Be 0.000 0.000 0.500
3 Be 0.500 0.500 0.500
4 P 0.000 0.000 0.000

Properties
- VASP energy (eV/atom) = -11.634

---

Record 4
First-principles (SCAN) data for a PBEsol-optimized structure of Cr3Fe4, as listed in the Alexandria database.

Cell lengths 2.822, 2.822, 9.780 Å; angles 98.29, 98.29, 90.00 degrees
Last column: magnetic moment on the atom in μB.
Fractional coordinates of all 7 atoms:
1 Cr 0.000 0.000 0.000  -1.45
2 Cr 0.715 0.715 0.430  -0.15
3 Cr 0.285 0.285 0.570  -0.15
4 Fe 0.143 0.143 0.286  2.41
5 Fe 0.857 0.857 0.714  2.41
6 Fe 0.571 0.571 0.143  2.48
7 Fe 0.429 0.429 0.857  2.48

Properties
- VASP energy (eV/atom) = -18.171

---

Record 5
First-principles (SCAN) data for a PBEsol-optimized structure of CsIn2Te2, as listed in the Alexandria database.

Cell lengths 5.709, 5.709, 6.599 Å; angles 115.63, 115.63, 90.00 degrees
Fractional coordinates of all 5 atoms:
1 In 0.358 0.358 0.715
2 Cs 0.000 0.000 0.000
3 In 0.642 0.642 0.285
4 Te 0.250 0.750 0.500
5 Te 0.750 0.250 0.500

Properties
- formation energy from raw total energies (eV per atom) = -0.564

---

Record 6
First-principles (SCAN) data for a PBEsol-optimized structure of NbBrO2F, as listed in the Alexandria database.

Cell lengths 3.992, 3.992, 4.228 Å; angles 90.00, 90.00, 90.00 degrees
Last column: magnetic moment on the atom in μB.
Fractional coordinates of all 5 atoms:
1 F 0.000 0.000 0.500  0.01
2 Br 0.500 0.500 0.500  0.60
3 O 0.500 0.000 0.000  0.12
4 Nb 0.000 0.000 0.000  -0.04
5 O 0.000 0.500 0.000  0.12

Properties
- formation energy from raw total energies (eV per atom) = -1.718

---

Record 7
First-principles (SCAN) data for a PBEsol-optimized structure of MgH12SeO10, as listed in the Alexandria database.

Cell lengths 6.177, 6.177, 24.973 Å; angles 82.05, 82.05, 72.10 degrees
Fractional coordinates of all 96 atoms:
1 O 0.363 0.257 0.981
2 H 0.216 0.953 0.798
3 H 0.295 0.384 0.345
4 H 0.258 0.187 0.005
5 H 0.170 0.421 0.449
6 H 0.206 0.854 0.447
7 H 0.538 0.162 0.581
8 O 0.291 0.642 0.566
9 H 0.318 0.824 0.297
10 Se 0.073 0.188 0.623
11 O 0.370 0.801 0.453
12 O 0.701 0.575 0.179
13 H 0.176 0.682 0.203
14 O 0.078 0.092 0.563
15 H 0.742 0.813 0.995
16 H 0.241 0.427 0.190
17 H 0.831 0.416 0.413
18 H 0.584 0.169 0.087
19 H 0.953 0.216 0.298
20 H 0.794 0.146 0.553
21 Mg 0.566 0.434 0.250
22 O 0.425 0.299 0.321
23 O 0.634 0.117 0.222
24 O 0.199 0.630 0.047
25 H 0.010 0.427 0.260
26 H 0.759 0.573 0.810
27 O 0.709 0.358 0.434
28 Mg 0.434 0.566 0.750
29 H 0.784 0.047 0.202
30 H 0.990 0.573 0.740
31 H 0.462 0.838 0.419
32 O 0.530 0.052 0.884
33 O 0.366 0.883 0.778
34 O 0.058 0.932 0.172
35 O 0.239 0.521 0.220
36 O 0.470 0.948 0.116
37 H 0.508 0.154 0.341
38 H 0.187 0.258 0.505
39 O 0.052 0.530 0.384
40 O 0.908 0.922 0.937
41 O 0.801 0.370 0.953
42 H 0.830 0.579 0.551
43 O 0.743 0.637 0.519
44 H 0.427 0.010 0.760
45 H 0.169 0.584 0.587
46 H 0.573 0.759 0.310
47 H 0.824 0.318 0.797
48 H 0.188 0.772 0.937
49 O 0.642 0.291 0.066
50 O 0.883 0.366 0.278
51 H 0.616 0.705 0.155
52 H 0.579 0.830 0.051
53 O 0.637 0.743 0.019
54 H 0.573 0.990 0.240
55 H 0.705 0.616 0.655
56 H 0.813 0.742 0.495
57 O 0.068 0.942 0.328
58 O 0.132 0.343 0.137
59 Se 0.812 0.927 0.877
60 H 0.384 0.295 0.845
61 H 0.427 0.241 0.690
62 O 0.092 0.078 0.063
63 H 0.838 0.462 0.919
64 H 0.854 0.206 0.947
65 H 0.682 0.176 0.703
66 H 0.228 0.812 0.563
67 O 0.761 0.479 0.780
68 O 0.257 0.363 0.481
69 H 0.812 0.228 0.063
70 O 0.343 0.132 0.637
71 H 0.846 0.492 0.159
72 O 0.521 0.239 0.720
73 O 0.922 0.908 0.437
74 O 0.479 0.761 0.280
75 O 0.657 0.868 0.363
76 Se 0.927 0.812 0.377
77 O 0.868 0.657 0.863
78 Se 0.188 0.073 0.123
79 O 0.299 0.425 0.821
80 H 0.492 0.846 0.659
81 O 0.932 0.058 0.672
82 H 0.416 0.831 0.913
83 Mg 0.500 0.500 0.000
84 H 0.047 0.784 0.702
85 H 0.772 0.188 0.437
86 O 0.630 0.199 0.547
87 O 0.948 0.470 0.616
88 H 0.162 0.538 0.081
89 H 0.146 0.794 0.053
90 Mg 0.500 0.500 0.500
91 H 0.421 0.170 0.949
92 O 0.358 0.709 0.934
93 O 0.575 0.701 0.679
94 H 0.154 0.508 0.841
95 O 0.117 0.634 0.722
96 O 0.942 0.068 0.828

Properties
- VASP energy (eV/atom) = -6.572

---

Record 8
First-principles (SCAN) data for a PBEsol-optimized structure of YSiPb, as listed in the Alexandria database.

Cell lengths 3.373, 3.373, 7.375 Å; angles 90.00, 90.00, 120.00 degrees
Fractional coordinates of all 3 atoms:
1 Pb 0.000 0.000 0.981
2 Y 0.333 0.667 0.358
3 Si 0.667 0.333 0.661

Properties
- formation energy from raw total energies (eV per atom) = 0.166